{
  "formula": "AcCd5Ag2Pb",
  "functional": "PBE",
  "state": "optimized geometry",
  "lattice": [[5.382, 0.000, 0.000], [0.000, 5.382, 0.000], [0.000, 0.000, 8.145]],
  "species": ["Ac", "Cd", "Cd", "Cd", "Cd", "Cd", "Ag", "Ag", "Pb"],
  "frac_coords": [[0.000, 0.000, 0.500], [0.000, 0.500, 0.235], [0.500, 0.000, 0.235], [0.000, 0.500, 0.765], [0.500, 0.000, 0.765], [0.500, 0.500, 0.500], [0.500, 0.500, 0.164], [0.500, 0.500, 0.836], [0.000, 0.000, 0.000]],
  "volume_a3_per_cell": 236,
  "rho_g_cm3": 8.53,
  "dos_at_fermi_per_ev_cell": 3.509,
  "e_tot_ev_per_atom": -2.02,
  "formation_enthalpy_0k_ev_per_atom": -0.01
}

{
  "formula": "LiHfCuSn",
  "functional": "PBE",
  "state": "optimized geometry",
  "lattice": [[4.693, 0.000, 0.000], [2.346, 4.064, 0.000], [2.346, 1.355, 3.831]],
  "species": ["Hf", "Sn", "Cu", "Li"],
  "frac_coords": [[0.250, 0.250, 0.250], [0.500, 0.500, 0.500], [0.000, 0.000, 0.000], [0.750, 0.750, 0.750]],
  "volume_a3_per_cell": 73,
  "rho_g_cm3": 8.36,
  "dos_at_fermi_per_ev_cell": 1.453,
  "e_tot_ev_per_atom": -5.14,
  "formation_enthalpy_0k_ev_per_atom": -0.15
}

{
  "formula": "Pm6Te3PPt2",
  "functional": "PBE",
  "state": "optimized geometry",
  "lattice": [[7.381, -0.010, -0.004], [-3.697, 6.389, -0.004], [-1.233, -2.135, 7.372]],
  "species": ["Pm", "Pm", "Pm", "Pm", "Pm", "Pm", "Te", "Te", "Te", "P", "Pt", "Pt"],
  "frac_coords": [[0.928, 0.596, 0.785], [0.740, 0.740, 0.218], [0.072, 0.404, 0.215], [0.596, 0.928, 0.785], [0.260, 0.260, 0.782], [0.404, 0.072, 0.215], [0.165, 0.835, 0.500], [0.835, 0.165, 0.500], [0.500, 0.500, 0.500], [0.000, 0.000, 0.000], [0.333, 0.667, 0.000], [0.667, 0.333, 0.000]],
  "volume_a3_per_cell": 347,
  "rho_g_cm3": 8.00,
  "dos_at_fermi_per_ev_cell": 6.482,
  "e_tot_ev_per_atom": -5.96,
  "e_form_raw_ev_per_atom": -1.3371
}

{
  "formula": "TaAlV",
  "functional": "PBE",
  "state": "optimized geometry",
  "lattice": [[2.809, 0.000, 0.000], [0.000, 6.481, 0.073], [0.000, -0.497, 6.462]],
  "species": ["V", "V", "Ta", "Ta", "Al", "Al"],
  "frac_coords": [[0.000, 0.000, 0.000], [0.500, 0.500, 0.500], [0.000, 0.734, 0.734], [0.000, 0.266, 0.266], [0.500, 0.233, 0.767], [0.500, 0.767, 0.233]],
  "volume_a3_per_cell": 118,
  "rho_g_cm3": 7.30,
  "dos_at_fermi_per_ev_cell": 4.787,
  "e_tot_ev_per_atom": -7.48,
  "e_above_lowest_polymorph_mev_per_atom": 967.2,
  "formation_enthalpy_0k_ev_per_atom": 0.76
}

{
  "formula": "Tb3FeSe",
  "functional": "PBE",
  "state": "optimized geometry",
  "lattice": [[3.853, 0.000, 0.000], [0.000, 7.844, -2.650], [0.000, 0.148, 7.991]],
  "species": ["Tb", "Tb", "Tb", "Tb", "Tb", "Tb", "Fe", "Fe", "Se", "Se"],
  "frac_coords": [[0.250, 0.593, 0.336], [0.750, 0.407, 0.664], [0.250, 0.066, 0.690], [0.750, 0.242, 0.082], [0.750, 0.934, 0.310], [0.250, 0.758, 0.918], [0.750, 0.563, 0.051], [0.250, 0.437, 0.949], [0.750, 0.765, 0.618], [0.250, 0.235, 0.382]],
  "volume_a3_per_cell": 243,
  "rho_g_cm3": 8.36,
  "dos_at_fermi_per_ev_cell": 9.623,
  "e_tot_ev_per_atom": -5.85,
  "e_form_raw_ev_per_atom": -0.6797
}

{
  "formula": "SbH6N2",
  "functional": "PBE",
  "state": "optimized geometry",
  "lattice": [[5.103, -0.014, 1.453], [1.766, 6.885, 2.659], [0.346, -0.189, 7.579]],
  "species": ["Sb", "Sb", "H", "H", "H", "H", "H", "H", "H", "H", "H", "H", "H", "H", "N", "N", "N", "N"],
  "frac_coords": [[0.250, 0.039, 0.961], [0.750, 0.961, 0.039], [0.785, 0.363, 0.292], [0.715, 0.708, 0.637], [0.215, 0.637, 0.708], [0.285, 0.292, 0.363], [0.045, 0.260, 0.564], [0.455, 0.436, 0.740], [0.955, 0.740, 0.436], [0.545, 0.564, 0.260], [0.691, 0.458, 0.086], [0.809, 0.914, 0.542], [0.309, 0.542, 0.914], [0.191, 0.086, 0.458], [0.618, 0.432, 0.232], [0.882, 0.768, 0.568], [0.382, 0.568, 0.768], [0.118, 0.232, 0.432]],
  "volume_a3_per_cell": 265,
  "rho_g_cm3": 1.95,
  "dos_at_fermi_per_ev_cell": 0.228,
  "e_tot_ev_per_atom": -4.73
}

{
  "formula": "Pm4YPu3Se8",
  "functional": "PBE",
  "state": "optimized geometry",
  "lattice": [[8.316, -0.013, 0.003], [0.013, 8.335, -0.046], [-4.169, -4.183, 5.911]],
  "species": ["Pm", "Pm", "Pm", "Pm", "Y", "Pu", "Pu", "Pu", "Se", "Se", "Se", "Se", "Se", "Se", "Se", "Se"],
  "frac_coords": [[0.500, 0.000, 0.000], [0.500, 0.000, 0.500], [0.000, 0.000, 0.000], [0.000, 0.000, 0.500], [0.000, 0.500, 0.000], [0.500, 0.500, 0.000], [0.500, 0.500, 0.500], [0.000, 0.500, 0.500], [0.247, 0.744, 0.997], [0.247, 0.743, 0.494], [0.251, 0.255, 0.503], [0.750, 0.744, 0.997], [0.250, 0.256, 0.003], [0.749, 0.745, 0.497], [0.753, 0.257, 0.506], [0.753, 0.256, 0.003]],
  "volume_a3_per_cell": 408,
  "rho_g_cm3": 8.27,
  "dos_at_fermi_per_ev_cell": 30.085,
  "e_tot_ev_per_atom": -7.75,
  "e_form_raw_ev_per_atom": -1.7276
}